[1]
Compound: NaBr3O
Source: the Alexandria database
Functional: PBE
Structure: relaxed

As for the uncorrected formation energy: 0.414 eV/atom. The calculation puts the polymorph energy (0 for the lowest one) at 573 meV per atom. The total moment comes out at 4.0 μB per formula unit.

It has space group Pm-3m (No. 221), with a = 5.5869 Å, b = 5.5869 Å, c = 5.5869 Å, α = 90.00°, β = 90.00° and γ = 90.00°. The inequivalent atoms are Na at (0.0000, 0.0000, 0.0000), Br at (0.0000, 0.0000, 0.5000) and O at (0.5000, 0.5000, 0.5000).

---

[2]
Compound: Na2BrO
Source: the Alexandria database
Functional: PBE
Structure: relaxed

As for the uncorrected formation energy: -0.979 eV/atom. The calculation puts the polymorph energy (0 for the lowest one) at 0 meV per atom. The total moment comes out at 0.0 μB per formula unit.

It has space group I-42d (No. 122), with a = 7.3605 Å, b = 7.3605 Å, c = 5.7257 Å, α = 90.00°, β = 90.00° and γ = 90.00°. The inequivalent atoms are Na at (0.1506, 0.2500, 0.1250), Br at (0.0000, 0.0000, 0.5000) and O at (0.0000, 0.0000, 0.0000).

---

[3]
Compound: NaBrO2
Source: the Alexandria database
Functional: PBE
Structure: relaxed

As for the uncorrected formation energy: -0.379 eV/atom. The calculation puts the polymorph energy (0 for the lowest one) at 174 meV per atom. The total moment comes out at 0.0 μB per formula unit.

It has space group R-3m (No. 166, hexagonal axes), with a = 3.2505 Å, b = 3.2505 Å, c = 19.3537 Å, α = 90.00°, β = 90.00° and γ = 120.00°. The inequivalent atoms are Na at (0.0000, 0.0000, 0.0000), Br at (0.0000, 0.0000, 0.5000) and O at (0.0000, 0.0000, 0.4058).

---

[4]
Compound: Na5Br4O
Source: the Alexandria database
Functional: PBE
Structure: relaxed

As for the uncorrected formation energy: -1.335 eV/atom. The total moment comes out at 1.0 μB per formula unit.

It has space group I4 (No. 79), with a = 9.1608 Å, b = 9.1608 Å, c = 5.9930 Å, α = 90.00°, β = 90.00° and γ = 90.00°. The inequivalent atoms are Na at (0.0000, 0.0000, 0.0000), Na at (0.0864, 0.2652, 0.4405), Br at (0.0953, 0.2959, 0.9385) and O at (0.0000, 0.0000, 0.4136).

---

[5]
Compound: NaBr3O
Source: the Alexandria database
Functional: PBE
Structure: relaxed

As for the uncorrected formation energy: -0.159 eV/atom. The calculation puts the polymorph energy (0 for the lowest one) at 0 meV per atom. The total moment comes out at 0.0 μB per formula unit.

It has space group Pm-3m (No. 221), with a = 4.8499 Å, b = 4.8499 Å, c = 4.8499 Å, α = 90.00°, β = 90.00° and γ = 90.00°. The inequivalent atoms are Na at (0.0000, 0.0000, 0.0000), Br at (0.0000, 0.5000, 0.5000) and O at (0.5000, 0.5000, 0.5000).

---

[6]
Compound: Na2BrO
Source: the Alexandria database
Functional: PBE
Structure: relaxed

As for the uncorrected formation energy: -0.861 eV/atom. The calculation puts the polymorph energy (0 for the lowest one) at 119 meV per atom. The total moment comes out at 1.0 μB per formula unit.

It has space group Fm-3m (No. 225), with a = 6.7130 Å, b = 6.7130 Å, c = 6.7130 Å, α = 90.00°, β = 90.00° and γ = 90.00°. The inequivalent atoms are Na at (0.2500, 0.2500, 0.2500), Br at (0.0000, 0.0000, 0.0000) and O at (0.0000, 0.0000, 0.5000).

---

[7]
Compound: NaBrO2
Source: the Alexandria database
Functional: PBE
Structure: relaxed

As for the uncorrected formation energy: -0.348 eV/atom. The calculation puts the polymorph energy (0 for the lowest one) at 205 meV per atom. The total moment comes out at 0.0 μB per formula unit.

It has space group P4/mmm (No. 123), with a = 4.1023 Å, b = 4.1023 Å, c = 3.3559 Å, α = 90.00°, β = 90.00° and γ = 90.00°. The inequivalent atoms are Na at (0.0000, 0.0000, 0.0000), Br at (0.5000, 0.5000, 0.5000) and O at (0.0000, 0.5000, 0.5000).

---

[8]
Compound: Na6Br2O
Source: the Alexandria database
Functional: PBE
Structure: relaxed

As for the uncorrected formation energy: -0.888 eV/atom. The total moment comes out at 0.0 μB per formula unit.

It has space group Immm (No. 71), with a = 4.6448 Å, b = 6.6076 Å, c = 15.1659 Å, α = 90.00°, β = 90.00° and γ = 90.00°. The inequivalent atoms are Na at (0.0000, 0.2201, 0.0000), Na at (0.0000, 0.2631, 0.3742), Br at (0.0000, 0.5000, 0.2073) and O at (0.0000, 0.5000, 0.5000).

---

Number 1: V 174 Å³/f.u.. Number 2: V 78 Å³/f.u.. Number 3: V 59 Å³/f.u.. Number 4: V 251 Å³/f.u.. Number 5: V 114 Å³/f.u.. Number 6: V 76 Å³/f.u.. Number 7: V 56 Å³/f.u.. Number 8: V 233 Å³/f.u..